Entry from the Alexandria database: KLaTa3 after structural relaxation (PBE).

E_form in eV/f.u.: 11.4
Energy above the most stable polymorph in this dataset in eV per formula unit: 0.00
Crystal system: cubic
VASP energy in eV per cell: -30.23
Theoretical density in Mg/m³: 8.86

Cell: 5.1319 5.1319 5.1319 Å, 90.00 90.00 90.00°
Space group Pm-3m (No. 221)
Symmetry-distinct sites (fractional):
K 0.0000 0.0000 0.0000
La 0.5000 0.5000 0.5000
Ta 0.0000 0.5000 0.5000